(1)
A relaxed structure of LiCa2US4, computed with PBE.

Cell lengths 3.9572, 6.8347, 6.8800 Å; angles 108.87, 90.00, 90.00 degrees
Last column: magnetic moment on the atom in μB.
Atoms (fractional coordinates):
U1 0.0000 0.0000 0.0000  2.57
S1 0.5000 0.2490 0.2423  -0.04
S2 0.0000 0.7510 0.2410  -0.03
S3 0.0000 0.2490 0.7590  -0.03
S4 0.5000 0.7510 0.7577  -0.04
Ca1 0.5000 0.0000 0.5000  0.03
Ca2 0.0000 0.5000 0.5000  0.03
Li1 0.5000 0.5000 0.0000  0.00

## Properties
DOS(E_F) = 0.657 states/eV per atom
V = 22.0 Å³/atom
energy relative to the elements, uncorrected = -1.706 eV/atom

***

(2)
A relaxed structure of Li3Ca2US6, computed with PBE.

Cell lengths 6.8740, 6.8740, 6.5378 Å; angles 99.69, 99.69, 120.45 degrees
Last column: magnetic moment on the atom in μB.
Atoms (fractional coordinates):
Ca1 0.6685 0.3315 0.0000  0.00
Ca2 0.3315 0.6685 0.0000  0.00
U1 0.0000 0.0000 0.0000  1.20
S1 0.2362 0.2362 0.7556  -0.03
S2 0.6082 0.9186 0.7480  -0.03
S3 0.9186 0.6082 0.7480  -0.03
S4 0.3918 0.0814 0.2520  -0.03
S5 0.7638 0.7638 0.2444  -0.03
S6 0.0814 0.3918 0.2520  -0.03
Li1 0.5000 0.5000 0.5000  0.00
Li2 0.8506 0.1494 0.5000  0.00
Li3 0.1494 0.8506 0.5000  0.00

## Properties
DOS(E_F) = 0.007 states/eV per atom
V = 20.9 Å³/atom
energy relative to the elements, uncorrected = -1.619 eV/atom

***

(3)
A relaxed structure of Li2CaVS, computed with PBE.

Cell lengths 4.7604, 4.5725, 4.7604 Å; angles 90.00, 90.00, 90.00 degrees
Last column: magnetic moment on the atom in μB.
Atoms (fractional coordinates):
Li1 0.5000 0.0000 0.0000  -0.03
Li2 0.0000 0.0000 0.5000  -0.04
Ca1 0.5000 0.5000 0.5000  -0.04
V1 0.0000 0.5000 0.0000  2.11
S1 0.0000 0.0000 0.0000  -0.09

## Properties
DOS(E_F) = 0.681 states/eV per atom
V = 20.7 Å³/atom
energy relative to the elements, uncorrected = -0.218 eV/atom

***

What did the first record say?
A relaxed structure of LiCa2US4, computed with PBE.

Cell lengths 3.9572, 6.8347, 6.8800 Å; angles 108.87, 90.00, 90.00 degrees
Last column: magnetic moment on the atom in μB.
Atoms (fractional coordinates):
U1 0.0000 0.0000 0.0000  2.57
S1 0.5000 0.2490 0.2423  -0.04
S2 0.0000 0.7510 0.2410  -0.03
S3 0.0000 0.2490 0.7590  -0.03
S4 0.5000 0.7510 0.7577  -0.04
Ca1 0.5000 0.0000 0.5000  0.03
Ca2 0.0000 0.5000 0.5000  0.03
Li1 0.5000 0.5000 0.0000  0.00

## Properties
DOS(E_F) = 0.657 states/eV per atom
V = 22.0 Å³/atom
energy relative to the elements, uncorrected = -1.706 eV/atom

***

Which formula does entry 1 have?
LiCa2US4

***

What did the second record say?
A relaxed structure of Li3Ca2US6, computed with PBE.

Cell lengths 6.8740, 6.8740, 6.5378 Å; angles 99.69, 99.69, 120.45 degrees
Last column: magnetic moment on the atom in μB.
Atoms (fractional coordinates):
Ca1 0.6685 0.3315 0.0000  0.00
Ca2 0.3315 0.6685 0.0000  0.00
U1 0.0000 0.0000 0.0000  1.20
S1 0.2362 0.2362 0.7556  -0.03
S2 0.6082 0.9186 0.7480  -0.03
S3 0.9186 0.6082 0.7480  -0.03
S4 0.3918 0.0814 0.2520  -0.03
S5 0.7638 0.7638 0.2444  -0.03
S6 0.0814 0.3918 0.2520  -0.03
Li1 0.5000 0.5000 0.5000  0.00
Li2 0.8506 0.1494 0.5000  0.00
Li3 0.1494 0.8506 0.5000  0.00

## Properties
DOS(E_F) = 0.007 states/eV per atom
V = 20.9 Å³/atom
energy relative to the elements, uncorrected = -1.619 eV/atom

***

Among the records above, which one has the lowest DOS(E_F)?
Li3Ca2US6